# 1
{"formula": "EuTmBi", "functional": "PBE", "state": "relaxed", "cell": [[5.222, 0.000, 0.000], [-2.611, 4.523, 0.000], [0.000, 0.000, 4.314]], "species": ["Eu", "Tm", "Bi"], "fractional_positions": [[0.000, 0.000, 0.000], [0.333, 0.667, 0.514], [0.667, 0.333, 0.449]], "space_group": "P3m1", "e_form_ev_per_atom": -0.357, "crystal_system": "trigonal", "dos_at_fermi_per_ev_cell": 1.89, "de_polymorph_ev_per_fu": 0.261, "m_tot_mub_per_fu": 7.21}

# 2
{"formula": "EuTm2Bi", "functional": "PBE", "state": "relaxed", "cell": [[4.914, 0.000, 0.000], [0.000, 4.914, 0.000], [0.000, 0.000, 4.908]], "species": ["Eu", "Tm", "Tm", "Bi"], "fractional_positions": [[0.000, 0.000, 0.000], [0.000, 0.500, 0.500], [0.500, 0.000, 0.500], [0.500, 0.500, 0.000]], "space_group": "P4/mmm", "e_form_ev_per_atom": -0.293, "crystal_system": "tetragonal", "dos_at_fermi_per_ev_cell": 5.25, "de_polymorph_ev_per_fu": 0.000, "m_tot_mub_per_fu": 7.43}

# 3
{"formula": "EuTm2Bi", "functional": "PBE", "state": "relaxed", "cell": [[3.567, 0.000, 0.000], [-1.784, 3.089, 0.000], [0.000, 0.000, 36.465]], "species": ["Eu", "Eu", "Eu", "Tm", "Tm", "Tm", "Tm", "Tm", "Tm", "Bi", "Bi", "Bi"], "fractional_positions": [[0.000, 0.000, 0.000], [0.333, 0.667, 0.667], [0.667, 0.333, 0.333], [0.000, 0.000, 0.415], [0.000, 0.000, 0.585], [0.333, 0.667, 0.082], [0.333, 0.667, 0.252], [0.667, 0.333, 0.748], [0.667, 0.333, 0.918], [0.000, 0.000, 0.500], [0.333, 0.667, 0.167], [0.667, 0.333, 0.833]], "space_group": "R-3m", "e_form_ev_per_atom": 0.099, "crystal_system": "trigonal", "dos_at_fermi_per_ev_cell": 12.32, "de_polymorph_ev_per_fu": 1.567, "m_tot_mub_per_fu": 7.51}

# 4
{"formula": "Eu2TmBi", "functional": "PBE", "state": "relaxed", "cell": [[3.644, 0.000, 0.000], [-1.822, 3.155, 0.000], [0.000, 0.000, 37.712]], "species": ["Eu", "Eu", "Eu", "Eu", "Eu", "Eu", "Tm", "Tm", "Tm", "Bi", "Bi", "Bi"], "fractional_positions": [[0.000, 0.000, 0.087], [0.000, 0.000, 0.913], [0.333, 0.667, 0.579], [0.333, 0.667, 0.754], [0.667, 0.333, 0.246], [0.667, 0.333, 0.421], [0.000, 0.000, 0.500], [0.333, 0.667, 0.167], [0.667, 0.333, 0.833], [0.000, 0.000, 0.000], [0.333, 0.667, 0.667], [0.667, 0.333, 0.333]], "space_group": "R-3m", "e_form_ev_per_atom": 0.032, "crystal_system": "trigonal", "dos_at_fermi_per_ev_cell": 10.91, "m_tot_mub_per_fu": 15.36}

# 5
{"formula": "EuUBi2", "functional": "PBE", "state": "relaxed", "cell": [[3.823, 0.000, 0.000], [0.000, 3.823, 0.000], [0.000, 0.000, 8.331]], "species": ["Eu", "U", "Bi", "Bi"], "fractional_positions": [[0.000, 0.000, 0.000], [0.000, 0.000, 0.500], [0.500, 0.500, 0.262], [0.500, 0.500, 0.738]], "space_group": "P4/mmm", "e_form_ev_per_atom": -0.285, "crystal_system": "tetragonal", "dos_at_fermi_per_ev_cell": 4.72, "de_polymorph_ev_per_fu": 0.211, "m_tot_mub_per_fu": 9.98}

# 6
{"formula": "EuUBi2", "functional": "PBE", "state": "relaxed", "cell": [[4.528, 0.000, 0.000], [-2.264, 3.921, 0.000], [0.000, 0.000, 23.090]], "species": ["Eu", "Eu", "Eu", "U", "U", "U", "Bi", "Bi", "Bi", "Bi", "Bi", "Bi"], "fractional_positions": [[0.000, 0.000, 0.000], [0.333, 0.667, 0.667], [0.667, 0.333, 0.333], [0.000, 0.000, 0.500], [0.333, 0.667, 0.167], [0.667, 0.333, 0.833], [0.000, 0.000, 0.245], [0.000, 0.000, 0.755], [0.333, 0.667, 0.422], [0.333, 0.667, 0.911], [0.667, 0.333, 0.089], [0.667, 0.333, 0.578]], "space_group": "R-3m", "e_form_ev_per_atom": -0.337, "crystal_system": "trigonal", "dos_at_fermi_per_ev_cell": 58.47, "de_polymorph_ev_per_fu": 0.000, "m_tot_mub_per_fu": 9.01}

# 7
{"formula": "EuUBi2", "functional": "PBE", "state": "relaxed", "cell": [[5.985, 0.000, 0.000], [0.000, 5.985, 0.000], [0.000, 0.000, 3.356]], "species": ["Eu", "U", "Bi", "Bi"], "fractional_positions": [[0.000, 0.000, 0.000], [0.500, 0.500, 0.000], [0.000, 0.500, 0.500], [0.500, 0.000, 0.500]], "space_group": "P4/mmm", "e_form_ev_per_atom": -0.247, "crystal_system": "tetragonal", "dos_at_fermi_per_ev_cell": 13.97, "de_polymorph_ev_per_fu": 0.359, "m_tot_mub_per_fu": 3.98}

# 8
{"formula": "EuZn2Bi", "functional": "PBE", "state": "relaxed", "cell": [[7.345, 0.000, 0.000], [0.000, 7.345, 0.000], [0.000, 0.000, 7.345]], "species": ["Eu", "Eu", "Eu", "Eu", "Zn", "Zn", "Zn", "Zn", "Zn", "Zn", "Zn", "Zn", "Bi", "Bi", "Bi", "Bi"], "fractional_positions": [[0.000, 0.000, 0.000], [0.000, 0.500, 0.500], [0.500, 0.000, 0.500], [0.500, 0.500, 0.000], [0.250, 0.250, 0.250], [0.250, 0.250, 0.750], [0.250, 0.750, 0.250], [0.250, 0.750, 0.750], [0.750, 0.250, 0.250], [0.750, 0.250, 0.750], [0.750, 0.750, 0.250], [0.750, 0.750, 0.750], [0.000, 0.000, 0.500], [0.000, 0.500, 0.000], [0.500, 0.000, 0.000], [0.500, 0.500, 0.500]], "space_group": "Fm-3m", "e_form_ev_per_atom": -0.221, "crystal_system": "cubic", "dos_at_fermi_per_ev_cell": 9.57, "de_polymorph_ev_per_fu": 0.213, "m_tot_mub_per_fu": 7.01}